Be2AgTe PBE optimized geometry; crystal system = orthorhombic; E_form (uncorrected) = 0.43 eV/atom; symmetry = No. 44
1.0
6.2285 -0.0077 0.0016
4.2743 4.5304 -0.0016
-5.2986 -2.1516 2.4676
Be Ag Te
2 1 1
direct
0.9330 0.9330 0.0000
0.8162 0.3162 0.5000
0.2470 0.7470 0.5000
0.5038 0.5038 0.0000



Y3Zr PBE optimized geometry; crystal system = monoclinic; symmetry = No. 12; energy relative to the elements = 0.10 eV/atom
1.0
-1.9554 -1.6584 -2.3060
3.5428 -4.0986 2.5217
-4.5767 -0.0818 3.9398
Zr Y
1 3
direct
0.7500 0.5000 0.2500
0.0059 0.0117 0.0112
0.2500 0.5000 0.7500
0.4941 0.9883 0.4888



VGaRe PBE optimized geometry; crystal system = trigonal; symmetry = No. 156; energy relative to the elements = -0.11 eV/atom
1.0
-2.2820 0.7273 -1.1916
-2.1257 -2.9994 2.2402
0.4333 3.9747 1.5961
V Re Ga
1 1 1
direct
0.6350 0.6667 0.3333
0.3689 0.3333 0.6667
0.9961 0.0000 0.0000



Ac3PO3 PBE optimized geometry; crystal system = trigonal; E_form (uncorrected) = -2.74 eV/atom; symmetry = No. 148
1.0
-5.2394 4.7731 1.8398
-6.8637 -1.0152 -2.3407
-5.5103 -2.6958 5.8735
O Ac P
6 6 2
direct
0.1332 0.4370 0.6274
0.8024 0.1332 0.6274
0.5630 0.1976 0.3726
0.8668 0.5630 0.3726
0.1976 0.8668 0.3726
0.4370 0.8024 0.6274
0.0915 0.7390 0.7160
0.4535 0.0915 0.7160
0.5465 0.9085 0.2840
0.2610 0.5465 0.2840
0.7390 0.4535 0.7160
0.9085 0.2610 0.2840
0.6664 0.6664 0.0007
0.3336 0.3336 0.9993



ThNi2Bi PBE optimized geometry; crystal system = cubic; symmetry = No. 225; energy relative to the elements = -0.28 eV/atom
1.0
-3.2836 -0.6561 3.4608
1.3592 -0.1138 4.6184
-1.1576 3.6333 2.9408
Ni Bi Th
2 1 1
direct
0.7500 0.7500 0.7500
0.2500 0.2500 0.2500
0.5000 0.5000 0.5000
0.0000 0.0000 0.0000



Ba3SrLi2 PBE optimized geometry; crystal system = tetragonal; symmetry = No. 123; energy relative to the elements = 0.04 eV/atom
1.0
-4.0944 1.3612 0.9659
-0.9018 -3.9573 1.7540
4.7430 4.8201 13.3130
Ba Li Sr
3 2 1
direct
0.0000 0.0000 0.2888
0.0000 0.0000 0.0000
0.0000 0.0000 0.7112
0.5000 0.5000 0.1464
0.5000 0.5000 0.8536
0.5000 0.5000 0.5000



Nb2Fe2Tc PBE optimized geometry; crystal system = tetragonal; symmetry = No. 127; energy relative to the elements = 0.07 eV/atom
1.0
-1.3557 1.2786 6.4106
-3.8423 -5.4525 0.2749
2.5877 -1.7780 0.9019
Nb Tc Fe
4 2 4
direct
0.6827 0.8173 0.5000
0.8173 0.3173 0.5000
0.3173 0.1827 0.5000
0.1827 0.6827 0.5000
0.5000 0.5000 0.0000
0.0000 0.0000 0.0000
0.8810 0.6190 0.0000
0.6190 0.1190 0.0000
0.1190 0.3810 0.0000
0.3810 0.8810 0.0000



La12Sm2Y5 PBE optimized geometry; crystal system = monoclinic; symmetry = No. 12; energy relative to the elements = 0.11 eV/atom
1.0
-5.2478 2.5328 -0.1018
-7.2799 -8.1959 5.6505
-3.4970 -0.1096 11.8261
Y La Sm
5 12 2
direct
0.3593 0.1844 0.1844
0.7306 0.2907 0.2907
0.6407 0.8156 0.8156
0.2694 0.7093 0.7093
0.5000 0.0000 0.0000
0.1998 0.0859 0.5248
0.6037 0.2076 0.6272
0.8002 0.9141 0.4752
0.1998 0.5248 0.0859
0.3963 0.7924 0.3728
0.6037 0.6272 0.2076
0.8732 0.5754 0.5754
0.8002 0.4752 0.9141
0.1268 0.4246 0.4246
0.0718 0.8778 0.8778
0.9282 0.1222 0.1222
0.3963 0.3728 0.7924
0.0000 0.8012 0.1988
0.0000 0.1988 0.8012